Li2CrCuF6, optimized geometry, DFT GGA+U; ρ = 3.5 g cm⁻³; energy above the lowest structure with this stoichiometry = 0 meV per atom
1.0
5.2170 0.0000 0.0000
0.0000 5.2180 0.0000
-5.1966 0.0000 8.4231
Li Cr Cu F
4 2 2 12
direct
0.2122 0.9995 0.2130
0.2122 0.5005 0.7130
0.7878 0.0005 0.7870
0.7878 0.4995 0.2870
0.5000 0.0000 0.0000
0.5000 0.5000 0.5000
0.0000 0.0000 0.5000
0.0000 0.5000 0.0000
0.1751 0.1834 0.0024
0.1751 0.3166 0.5024
0.1805 0.7136 0.3358
0.1805 0.7864 0.8358
0.4944 0.2208 0.8392
0.4944 0.2792 0.3392
0.5056 0.7208 0.6608
0.5056 0.7792 0.1608
0.8195 0.2136 0.1642
0.8195 0.2864 0.6642
0.8249 0.6834 0.4976
0.8249 0.8166 0.9976